Record 1
SrCeAgHg: relaxed, PBE.

abc: 5.4711 5.4711 5.4711
angles: 60.00 60.00 60.00
Element x y z (fractional)
Ag (0.2500, 0.2500, 0.2500)
Ce (0.0000, 0.0000, 0.0000)
Hg (0.7500, 0.7500, 0.7500)
Sr (0.5000, 0.5000, 0.5000)

Results
Uncorrected energy   -11.7 eV for the cell shown
Total magnetization   1.23 Bohr magnetons per cell


Record 2
LiAc2TlPt: relaxed, PBE.

abc: 4.3922 8.5410 8.6320
angles: 111.11 90.00 90.00
Element x y z (fractional)
Ac (0.2500, 0.2853, 0.9796)
Tl (0.7500, 0.3304, 0.6741)
Ac (0.7500, 0.8925, 0.6539)
Pt (0.2500, 0.8878, 0.8966)
Tl (0.2500, 0.6696, 0.3259)
Ac (0.7500, 0.7147, 0.0204)
Li (0.7500, 0.4348, 0.3507)
Pt (0.7500, 0.1122, 0.1034)
Li (0.2500, 0.5652, 0.6493)
Ac (0.2500, 0.1075, 0.3461)

Results
Uncorrected energy   -43.2 eV for the cell shown
Total magnetization   0.00 Bohr magnetons per cell


Record 3
CeDyZr2: relaxed, PBE.

abc: 4.7753 4.6836 4.6836
angles: 90.00 90.00 90.00
Element x y z (fractional)
Zr (0.0000, 0.5000, 0.0000)
Zr (0.0000, 0.0000, 0.5000)
Ce (0.5000, 0.5000, 0.5000)
Dy (0.5000, 0.0000, 0.0000)

Results
Excess energy over the best structure of this formula in the dataset   16.7 meV/atom
Uncorrected energy   -27.1 eV for the cell shown
Total magnetization   0.00 Bohr magnetons per cell


Record 4
SmDyGa: relaxed, PBE.

abc: 3.5056 3.5056 7.0636
angles: 104.37 104.37 90.00
Element x y z (fractional)
Sm (0.2630, 0.2630, 0.5260)
Ga (0.6135, 0.6135, 0.2269)
Dy (0.9735, 0.9735, 0.9471)

Results
Excess energy over the best structure of this formula in the dataset   45.8 meV/atom
Uncorrected energy   -13.4 eV for the cell shown
Total magnetization   0.00 Bohr magnetons per cell


Record 5
TlRePbO2: relaxed, PBE.

abc: 3.9975 5.8754 3.9975
angles: 90.00 90.00 90.00
Element x y z (fractional)
O (0.0000, 0.0000, 0.5000)
Pb (0.5000, 0.5000, 0.5000)
O (0.5000, 0.0000, 0.0000)
Re (0.0000, 0.0000, 0.0000)
Tl (0.0000, 0.5000, 0.0000)

Results
Formation energy without anion corrections   -0.306 eV/atom
Uncorrected energy   -30.0 eV for the cell shown
Total magnetization   0.00 Bohr magnetons per cell


Record 6
Dy4Y5In4: relaxed, PBE.

abc: 5.0907 8.9994 8.9994
angles: 85.41 73.57 73.57
Element x y z (fractional)
Y (0.4025, 0.2847, 0.9103)
Y (0.6872, 0.9103, 0.7153)
Y (0.3128, 0.0897, 0.2847)
Y (0.0000, 0.0000, 0.0000)
In (0.8934, 0.8722, 0.3410)
In (0.1066, 0.1278, 0.6590)
In (0.2344, 0.6590, 0.8722)
Dy (0.9024, 0.4902, 0.7050)
Dy (0.6074, 0.2950, 0.4902)
Y (0.5975, 0.7153, 0.0897)
Dy (0.0976, 0.5098, 0.2950)
In (0.7656, 0.3410, 0.1278)
Dy (0.3926, 0.7050, 0.5098)

Results
Uncorrected energy   -66.2 eV for the cell shown
Total magnetization   0.00 Bohr magnetons per cell